A plane-wave DFT calculation with PBE was carried out for a relaxed structure of NaCr2IrSe.

a = 4.844 Å, b = 4.844 Å, c = 5.062 Å
α = 90.00°, β = 90.00°, γ = 90.00°
Space group P4/mmm (No. 123)
One atom of each set of equivalent atoms:
1 Na 0.000 0.000 0.000
2 Cr 0.000 0.500 0.500
3 Ir 0.500 0.500 0.500
4 Se 0.500 0.500 0.000

## Properties
* crystal system: tetragonal
* formation energy without anion corrections: 62 kJ/mol of atoms

---

A plane-wave DFT calculation with PBE was carried out for a relaxed structure of Rb4AsO5.

a = 8.151 Å, b = 8.151 Å, c = 8.030 Å
α = 90.00°, β = 90.00°, γ = 90.00°
Space group I4 (No. 79)
One atom of each set of equivalent atoms:
1 Rb 0.137 0.687 0.000
2 As 0.000 0.000 0.727
3 O 0.000 0.000 0.947
4 O 0.069 0.793 0.672

## Properties
* crystal system: tetragonal
* formation energy without anion corrections: -126 kJ/mol of atoms

---

A plane-wave DFT calculation with PBE was carried out for a relaxed structure of ScZnSb.

a = 4.518 Å, b = 5.542 Å, c = 10.358 Å
α = 90.00°, β = 90.00°, γ = 90.00°
Space group Fmm2 (No. 42)
One atom of each set of equivalent atoms:
1 Sc 0.000 0.000 0.000
2 Zn 0.000 0.000 0.660
3 Sb 0.000 0.000 0.318

## Properties
* crystal system: orthorhombic
* formation energy without anion corrections: -29 kJ/mol of atoms